# 1
{
  "formula": "K2TaPt",
  "functional": "PBE",
  "state": "optimized geometry",
  "lattice_angstrom": [[5.7745, 0.0000, 0.0000], [0.0000, 12.1638, 0.0000], [-1.4003, 0.0000, 2.5729]],
  "species": ["K", "K", "K", "K", "Ta", "Ta", "Pt", "Pt"],
  "fractional_positions": [[0.2500, 0.2500, 0.0000], [0.2500, 0.7500, 0.0000], [0.7500, 0.2500, 0.0000], [0.7500, 0.7500, 0.0000], [0.0000, 0.0000, 0.5000], [0.5000, 0.5000, 0.5000], [0.0000, 0.5000, 0.5000], [0.5000, 0.0000, 0.5000]],
  "delta_e_f_ev_per_atom": 0.78,
  "relative_energy_kj_per_mol_atoms": 52.7
}

=====

# 2
{
  "formula": "KTa2Pt",
  "functional": "PBE",
  "state": "optimized geometry",
  "lattice_angstrom": [[4.0134, 0.0000, 0.0000], [0.0000, 4.0271, 0.0000], [0.0000, 0.0000, 10.6955]],
  "species": ["K", "K", "Ta", "Ta", "Ta", "Ta", "Pt", "Pt"],
  "fractional_positions": [[0.0000, 0.0000, 0.0000], [0.5000, 0.5000, 0.0000], [0.0000, 0.5000, 0.3105], [0.0000, 0.5000, 0.6895], [0.5000, 0.0000, 0.3105], [0.5000, 0.0000, 0.6895], [0.0000, 0.0000, 0.5000], [0.5000, 0.5000, 0.5000]],
  "delta_e_f_ev_per_atom": 0.47,
  "relative_energy_kj_per_mol_atoms": 25.1
}

=====

# 3
{
  "formula": "KTa2Pt",
  "functional": "PBE",
  "state": "optimized geometry",
  "lattice_angstrom": [[12.3563, 0.0000, 0.0000], [0.0000, 2.8345, 0.0000], [-1.8210, 0.0000, 5.0683]],
  "species": ["K", "K", "Ta", "Ta", "Ta", "Ta", "Pt", "Pt"],
  "fractional_positions": [[0.0000, 0.0000, 0.0000], [0.5000, 0.5000, 0.0000], [0.2032, 0.0000, 0.6647], [0.2968, 0.5000, 0.3353], [0.7032, 0.5000, 0.6647], [0.7968, 0.0000, 0.3353], [0.0000, 0.5000, 0.5000], [0.5000, 0.0000, 0.5000]],
  "delta_e_f_ev_per_atom": 0.42,
  "relative_energy_kj_per_mol_atoms": 20.7
}

=====

# 4
{
  "formula": "KTa2Pt",
  "functional": "PBE",
  "state": "optimized geometry",
  "lattice_angstrom": [[2.9032, 0.0000, 0.0000], [0.0000, 5.5884, 0.0000], [0.0000, 0.0000, 10.5870]],
  "species": ["K", "K", "Ta", "Ta", "Ta", "Ta", "Pt", "Pt"],
  "fractional_positions": [[0.0000, 0.0000, 0.0000], [0.5000, 0.5000, 0.5000], [0.0000, 0.0000, 0.4803], [0.0000, 0.5000, 0.1991], [0.5000, 0.0000, 0.6991], [0.5000, 0.5000, 0.9803], [0.0000, 0.5000, 0.7693], [0.5000, 0.0000, 0.2693]],
  "delta_e_f_ev_per_atom": 0.74,
  "relative_energy_kj_per_mol_atoms": 51.6
}

=====

# 5
{
  "formula": "KTa2Pt",
  "functional": "PBE",
  "state": "optimized geometry",
  "lattice_angstrom": [[2.9230, 0.0000, 0.0000], [0.0000, 4.0265, 0.0000], [0.0000, 0.0000, 8.4927]],
  "species": ["K", "Ta", "Ta", "Pt"],
  "fractional_positions": [[0.0000, 0.0000, 0.0000], [0.5000, 0.5000, 0.3502], [0.5000, 0.5000, 0.6498], [0.0000, 0.0000, 0.5000]],
  "delta_e_f_ev_per_atom": 0.49,
  "relative_energy_kj_per_mol_atoms": 27.7
}

=====

# 6
{
  "formula": "KTaPt2",
  "functional": "PBE",
  "state": "optimized geometry",
  "lattice_angstrom": [[2.8136, 0.0000, 0.0000], [0.0000, 4.2605, 0.0000], [0.0000, 0.0000, 7.6341]],
  "species": ["K", "Ta", "Pt", "Pt"],
  "fractional_positions": [[0.0000, 0.0000, 0.0000], [0.5000, 0.5000, 0.6129], [0.0000, 0.0000, 0.4882], [0.5000, 0.5000, 0.2864]],
  "delta_e_f_ev_per_atom": 0.08,
  "relative_energy_kj_per_mol_atoms": 34.5
}

=====

# 7
{
  "formula": "K2TaPt",
  "functional": "PBE",
  "state": "optimized geometry",
  "lattice_angstrom": [[3.7054, 0.0000, 0.0000], [0.0000, 6.1443, 0.0000], [0.0000, 0.0000, 11.9741]],
  "species": ["K", "K", "K", "K", "Ta", "Ta", "Pt", "Pt"],
  "fractional_positions": [[0.0000, 0.0000, 0.0000], [0.0000, 0.5000, 0.1974], [0.5000, 0.0000, 0.6974], [0.5000, 0.5000, 0.5000], [0.0000, 0.0000, 0.3837], [0.5000, 0.5000, 0.8837], [0.0000, 0.5000, 0.7506], [0.5000, 0.0000, 0.2506]],
  "delta_e_f_ev_per_atom": 0.65,
  "relative_energy_kj_per_mol_atoms": 40.8
}

=====

# 8
{
  "formula": "KTaPt2",
  "functional": "PBE",
  "state": "optimized geometry",
  "lattice_angstrom": [[6.6074, 0.0000, 0.0000], [0.0000, 6.6074, 0.0000], [0.0000, 0.0000, 6.6074]],
  "species": ["K", "K", "K", "K", "Ta", "Ta", "Ta", "Ta", "Pt", "Pt", "Pt", "Pt", "Pt", "Pt", "Pt", "Pt"],
  "fractional_positions": [[0.0000, 0.0000, 0.0000], [0.0000, 0.5000, 0.5000], [0.5000, 0.0000, 0.5000], [0.5000, 0.5000, 0.0000], [0.2500, 0.2500, 0.7500], [0.2500, 0.7500, 0.2500], [0.7500, 0.2500, 0.2500], [0.7500, 0.7500, 0.7500], [0.0000, 0.0000, 0.5000], [0.0000, 0.5000, 0.0000], [0.2500, 0.2500, 0.2500], [0.2500, 0.7500, 0.7500], [0.5000, 0.0000, 0.0000], [0.5000, 0.5000, 0.5000], [0.7500, 0.2500, 0.7500], [0.7500, 0.7500, 0.2500]],
  "delta_e_f_ev_per_atom": 0.60,
  "relative_energy_kj_per_mol_atoms": 84.9
}

=====

# 9
{
  "formula": "KTa2Pt",
  "functional": "PBE",
  "state": "optimized geometry",
  "lattice_angstrom": [[4.1710, 0.0000, 0.0000], [0.0000, 4.2098, 0.0000], [0.0000, 0.0000, 9.8335]],
  "species": ["K", "K", "Ta", "Ta", "Ta", "Ta", "Pt", "Pt"],
  "fractional_positions": [[0.0000, 0.0000, 0.0000], [0.5000, 0.5000, 0.0000], [0.0000, 0.0000, 0.5570], [0.0000, 0.5000, 0.3410], [0.5000, 0.0000, 0.3410], [0.5000, 0.5000, 0.5570], [0.0000, 0.5000, 0.7365], [0.5000, 0.0000, 0.7365]],
  "delta_e_f_ev_per_atom": 0.21,
  "relative_energy_kj_per_mol_atoms": 0.0
}

=====

# 10
{
  "formula": "KTaPt2",
  "functional": "PBE",
  "state": "optimized geometry",
  "lattice_angstrom": [[2.8789, 0.0000, 0.0000], [0.0000, 2.8789, 0.0000], [0.0000, 0.0000, 9.8742]],
  "species": ["K", "Ta", "Pt", "Pt"],
  "fractional_positions": [[0.0000, 0.0000, 0.0000], [0.5000, 0.5000, 0.6501], [0.0000, 0.0000, 0.4646], [0.5000, 0.5000, 0.2547]],
  "delta_e_f_ev_per_atom": 0.24,
  "relative_energy_kj_per_mol_atoms": 49.3
}

=====

# 11
{
  "formula": "K2TaPt",
  "functional": "PBE",
  "state": "optimized geometry",
  "lattice_angstrom": [[7.7164, 0.0000, 0.0000], [0.0000, 7.7164, 0.0000], [0.0000, 0.0000, 7.7164]],
  "species": ["K", "K", "K", "K", "K", "K", "K", "K", "Ta", "Ta", "Ta", "Ta", "Pt", "Pt", "Pt", "Pt"],
  "fractional_positions": [[0.2500, 0.2500, 0.2500], [0.2500, 0.2500, 0.7500], [0.2500, 0.7500, 0.2500], [0.2500, 0.7500, 0.7500], [0.7500, 0.2500, 0.2500], [0.7500, 0.2500, 0.7500], [0.7500, 0.7500, 0.2500], [0.7500, 0.7500, 0.7500], [0.0000, 0.0000, 0.0000], [0.0000, 0.5000, 0.5000], [0.5000, 0.0000, 0.5000], [0.5000, 0.5000, 0.0000], [0.0000, 0.0000, 0.5000], [0.0000, 0.5000, 0.0000], [0.5000, 0.0000, 0.0000], [0.5000, 0.5000, 0.5000]],
  "delta_e_f_ev_per_atom": 1.58,
  "relative_energy_kj_per_mol_atoms": 130.7
}

=====

# 12
{
  "formula": "K2TaPt",
  "functional": "PBE",
  "state": "optimized geometry",
  "lattice_angstrom": [[7.5162, 0.0000, 0.0000], [0.0000, 4.3362, 0.0000], [-2.3970, 0.0000, 9.5459]],
  "species": ["K", "K", "K", "K", "Ta", "Ta", "Pt", "Pt"],
  "fractional_positions": [[0.0000, 0.0000, 0.0000], [0.1776, 0.0000, 0.5547], [0.5000, 0.5000, 0.0000], [0.6776, 0.5000, 0.5547], [0.2531, 0.5000, 0.2688], [0.7531, 0.0000, 0.2688], [0.4288, 0.0000, 0.2969], [0.9288, 0.5000, 0.2969]],
  "delta_e_f_ev_per_atom": 0.31,
  "relative_energy_kj_per_mol_atoms": 7.3
}

=====

# 13
{
  "formula": "KTa2Pt",
  "functional": "PBE",
  "state": "optimized geometry",
  "lattice_angstrom": [[4.9152, 0.0000, 0.0000], [0.0000, 4.9152, 0.0000], [0.0000, 0.0000, 18.5225]],
  "species": ["K", "K", "K", "K", "Ta", "Ta", "Ta", "Ta", "Ta", "Ta", "Ta", "Ta", "Pt", "Pt", "Pt", "Pt"],
  "fractional_positions": [[0.0000, 0.0000, 0.0000], [0.0000, 0.5000, 0.2500], [0.5000, 0.0000, 0.7500], [0.5000, 0.5000, 0.5000], [0.0801, 0.2500, 0.6250], [0.2500, 0.5801, 0.8750], [0.2500, 0.9199, 0.3750], [0.4199, 0.2500, 0.1250], [0.5801, 0.7500, 0.1250], [0.7500, 0.0801, 0.3750], [0.7500, 0.4199, 0.8750], [0.9199, 0.7500, 0.6250], [0.0000, 0.0000, 0.5000], [0.0000, 0.5000, 0.7500], [0.5000, 0.0000, 0.2500], [0.5000, 0.5000, 0.0000]],
  "delta_e_f_ev_per_atom": 1.15,
  "relative_energy_kj_per_mol_atoms": 91.3
}

=====

# 14
{
  "formula": "KTaPt2",
  "functional": "PBE",
  "state": "optimized geometry",
  "lattice_angstrom": [[7.3649, 0.0000, 0.0000], [0.0000, 7.3413, 0.0000], [-0.0056, 0.0000, 2.7924]],
  "species": ["K", "K", "Ta", "Ta", "Pt", "Pt", "Pt", "Pt"],
  "fractional_positions": [[0.0000, 0.0000, 0.0000], [0.5000, 0.5000, 0.0000], [0.0000, 0.5000, 0.0000], [0.5000, 0.0000, 0.0000], [0.2500, 0.2500, 0.5000], [0.2500, 0.7500, 0.5000], [0.7500, 0.2500, 0.5000], [0.7500, 0.7500, 0.5000]],
  "delta_e_f_ev_per_atom": 0.07,
  "relative_energy_kj_per_mol_atoms": 33.2
}

=====

# 15
{
  "formula": "K2TaPt",
  "functional": "PBE",
  "state": "optimized geometry",
  "lattice_angstrom": [[21.0052, 0.0000, 0.0000], [0.0000, 3.3628, 0.0000], [-0.7706, 0.0000, 3.9677]],
  "species": ["K", "K", "K", "K", "Ta", "Ta", "Pt", "Pt"],
  "fractional_positions": [[0.1484, 0.0000, 0.1464], [0.3516, 0.5000, 0.8536], [0.6484, 0.5000, 0.1464], [0.8516, 0.0000, 0.8536], [0.0000, 0.0000, 0.5000], [0.5000, 0.5000, 0.5000], [0.0000, 0.5000, 0.0000], [0.5000, 0.0000, 0.0000]],
  "delta_e_f_ev_per_atom": 0.28,
  "relative_energy_kj_per_mol_atoms": 4.8
}

=====

Listing total DFT energy (no corrections) for the structures above in their given order: -4.246, -7.242, -7.288, -6.968, -7.216, -6.176, -4.370, -5.653, -7.503, -6.022, -3.438, -4.716, -6.557, -6.189, -4.743 eV per atom.